[1]
Entry from OQMD: a geometry-optimized CuSn2Pt structure (PBE).

```
CuSn2Pt
1.0
0.000 3.388 3.388
3.388 0.000 3.388
3.388 3.388 0.000
Cu Sn Pt
1 2 1
direct
0.000 0.000 0.000
0.250 0.250 0.250
0.500 0.500 0.500
0.750 0.750 0.750
```

Output
Density in kg/m3: 10595
Raw total energy in eV/atom: -4.304

***

[2]
Entry from OQMD: a geometry-optimized CuSn5Pt3 structure (PBE).

```
CuSn5Pt3
1.0
5.486 0.000 0.000
-2.743 4.751 0.000
0.000 0.000 8.002
Cu Sn Pt
1 5 3
direct
0.000 0.000 0.000
0.000 0.000 0.500
0.333 0.667 0.192
0.333 0.667 0.808
0.667 0.333 0.192
0.667 0.333 0.808
0.000 0.500 0.500
0.500 0.000 0.500
0.500 0.500 0.500
```

Output
Density in kg/m3: 9893
Raw total energy in eV/atom: -4.710